1.
# Ca2CdSi PBE optimized geometry
# Total magnetic moment ... 0.00 Bohr magnetons per cell
# DFT total energy ... -2.919 eV per atom
data_Ca2CdSi
_space_group_name_H-M_alt 'P 1 2/m 1'
_space_group_IT_number 10
_cell_length_a 3.6127
_cell_length_b 3.6711
_cell_length_c 7.6760
_cell_angle_alpha 90.00
_cell_angle_beta 90.06
_cell_angle_gamma 90.00
loop_
_space_group_symop_operation_xyz
'x,y,z'
'-x,-y,-z'
'-x,y,-z'
'x,-y,z'
loop_
_atom_site_label
_atom_site_type_symbol
_atom_site_fract_x
_atom_site_fract_y
_atom_site_fract_z
Ca1 Ca 0.9998 0.0000 0.2281
Cd1 Cd 0.5000 0.5000 0.5000
Si1 Si 0.5000 0.5000 0.0000


2.
# TiSCl2F PBE optimized geometry
# Distance to the lowest polymorph of the same formula ... 962 meV per atom
# Total magnetic moment ... 0.30 Bohr magnetons per cell
data_TiSCl2F
_space_group_name_H-M_alt 'P 4/m m m'
_space_group_IT_number 123
_space_group_name_Hall '-P 4 2'
_cell_length_a 5.0364
_cell_length_b 5.0364
_cell_length_c 3.6671
_cell_angle_alpha 90.00
_cell_angle_beta 90.00
_cell_angle_gamma 90.00
loop_
_atom_site_label
_atom_site_type_symbol
_atom_site_fract_x
_atom_site_fract_y
_atom_site_fract_z
Ti1 Ti 0.0000 0.0000 0.0000
S1 S 0.5000 0.5000 0.0000
Cl1 Cl 0.0000 0.5000 0.5000
F1 F 0.5000 0.5000 0.5000


3.
# ZnGe2Rh2 PBE optimized geometry
# Distance to the lowest polymorph of the same formula ... 0 meV per atom
# DFT formation energy ... -1.643 eV per formula unit
# Total magnetic moment ... 0.00 Bohr magnetons per cell
data_ZnGe2Rh2
_space_group_name_H-M_alt 'P 4/m b m'
_space_group_IT_number 127
_space_group_name_Hall '-P 4 2ab'
_cell_length_a 6.9536
_cell_length_b 6.9536
_cell_length_c 3.1814
_cell_angle_alpha 90.00
_cell_angle_beta 90.00
_cell_angle_gamma 90.00
loop_
_atom_site_label
_atom_site_type_symbol
_atom_site_fract_x
_atom_site_fract_y
_atom_site_fract_z
Zn1 Zn 0.0000 0.0000 0.0000
Ge1 Ge 0.1477 0.3523 0.5000
Rh1 Rh 0.1499 0.6499 0.0000


4.
# CaNb2S PBE optimized geometry
# Total magnetic moment ... 0.00 Bohr magnetons per cell
# DFT total energy ... -6.516 eV per atom
data_CaNb2S
_space_group_name_H-M_alt 'I -4 2 d'
_space_group_IT_number 122
_space_group_name_Hall 'I -4 2bw'
_cell_length_a 3.8501
_cell_length_b 3.8501
_cell_length_c 22.6858
_cell_angle_alpha 90.00
_cell_angle_beta 90.00
_cell_angle_gamma 90.00
loop_
_atom_site_label
_atom_site_type_symbol
_atom_site_fract_x
_atom_site_fract_y
_atom_site_fract_z
Ca1 Ca 0.0000 0.0000 0.0000
Nb1 Nb 0.2451 0.2500 0.6250
S1 S 0.0000 0.0000 0.5000


5.
# BaAc2Bi PBE optimized geometry
# Distance to the lowest polymorph of the same formula ... 141 meV per atom
# DFT formation energy ... -0.689 eV per formula unit
# Total magnetic moment ... 0.00 Bohr magnetons per cell
data_BaAc2Bi
_space_group_name_H-M_alt 'R -3 m'
_space_group_IT_number 166
_space_group_name_Hall '-R 3 2"'
_cell_length_a 4.4329
_cell_length_b 4.4329
_cell_length_c 36.9287
_cell_angle_alpha 90.00
_cell_angle_beta 90.00
_cell_angle_gamma 120.00
loop_
_atom_site_label
_atom_site_type_symbol
_atom_site_fract_x
_atom_site_fract_y
_atom_site_fract_z
Ba1 Ba 0.0000 0.0000 0.0000
Ac1 Ac 0.0000 0.0000 0.1089
Bi1 Bi 0.0000 0.0000 0.5000


6.
# RbLaCd2Cl8 PBE optimized geometry
# Total magnetic moment ... 0.00 Bohr magnetons per cell
# DFT total energy ... -3.508 eV per atom
data_RbLaCd2Cl8
_space_group_name_H-M_alt 'P -1'
_space_group_IT_number 2
_cell_length_a 6.6303
_cell_length_b 6.7283
_cell_length_c 9.4530
_cell_angle_alpha 78.74
_cell_angle_beta 80.46
_cell_angle_gamma 79.65
loop_
_space_group_symop_operation_xyz
'x,y,z'
'-x,-y,-z'
loop_
_atom_site_label
_atom_site_type_symbol
_atom_site_fract_x
_atom_site_fract_y
_atom_site_fract_z
Rb1 Rb 0.0000 0.0000 0.0000
La1 La 0.0000 0.0000 0.5000
Cd1 Cd 0.4618 0.4477 0.2109
Cl1 Cl 0.1680 0.7275 0.7335
Cl2 Cl 0.2150 0.7718 0.2882
Cl3 Cl 0.3114 0.2422 0.4559
Cl4 Cl 0.3679 0.2947 0.0089


7.
# NbRuCl2 PBE optimized geometry
# Distance to the lowest polymorph of the same formula ... 544 meV per atom
# Total magnetic moment ... 0.03 Bohr magnetons per cell
data_NbRuCl2
_space_group_name_H-M_alt 'F m -3 m'
_space_group_IT_number 225
_space_group_name_Hall '-F 4 2 3'
_cell_length_a 6.2439
_cell_length_b 6.2439
_cell_length_c 6.2439
_cell_angle_alpha 90.00
_cell_angle_beta 90.00
_cell_angle_gamma 90.00
loop_
_atom_site_label
_atom_site_type_symbol
_atom_site_fract_x
_atom_site_fract_y
_atom_site_fract_z
Nb1 Nb 0.0000 0.0000 0.0000
Ru1 Ru 0.0000 0.0000 0.5000
Cl1 Cl 0.2500 0.2500 0.2500


8.
# Dy3Sc2 PBE optimized geometry
# Distance to the lowest polymorph of the same formula ... 0 meV per atom
# DFT formation energy ... 0.110 eV per formula unit
# Total magnetic moment ... 0.00 Bohr magnetons per cell
data_Dy3Sc2
_space_group_name_H-M_alt 'C 1 2/c 1'
_space_group_IT_number 15
_cell_length_a 11.4379
_cell_length_b 6.0451
_cell_length_c 8.8629
_cell_angle_alpha 90.00
_cell_angle_beta 110.10
_cell_angle_gamma 90.00
loop_
_space_group_symop_operation_xyz
'x,y,z'
'-x,-y,-z'
'-x,y,-z+1/2'
'x,-y,z+1/2'
'x+1/2,y+1/2,z'
'-x+1/2,-y+1/2,-z'
'-x+1/2,y+1/2,-z+1/2'
'x+1/2,-y+1/2,z+1/2'
loop_
_atom_site_label
_atom_site_type_symbol
_atom_site_fract_x
_atom_site_fract_y
_atom_site_fract_z
Dy1 Dy 0.0000 0.1760 0.2500
Dy2 Dy 0.1944 0.1677 0.6493
Sc1 Sc 0.1020 0.3358 0.9506


9.
# Sr3AsCl PBE optimized geometry
# Distance to the lowest polymorph of the same formula ... 0 meV per atom
# Total magnetic moment ... 0.33 Bohr magnetons per cell
data_Sr3AsCl
_space_group_name_H-M_alt 'P m -3 m'
_space_group_IT_number 221
_space_group_name_Hall '-P 4 2 3'
_cell_length_a 6.0570
_cell_length_b 6.0570
_cell_length_c 6.0570
_cell_angle_alpha 90.00
_cell_angle_beta 90.00
_cell_angle_gamma 90.00
loop_
_atom_site_label
_atom_site_type_symbol
_atom_site_fract_x
_atom_site_fract_y
_atom_site_fract_z
Sr1 Sr 0.0000 0.0000 0.5000
As1 As 0.0000 0.0000 0.0000
Cl1 Cl 0.5000 0.5000 0.5000


10.
# Tb2Be4Si3Au PBE optimized geometry
# Total magnetic moment ... 0.00 Bohr magnetons per cell
# DFT total energy ... -4.845 eV per atom
data_Tb2Be4Si3Au
_space_group_name_H-M_alt 'P -4 m 2'
_space_group_IT_number 115
_cell_length_a 3.8905
_cell_length_b 3.8905
_cell_length_c 9.8173
_cell_angle_alpha 90.00
_cell_angle_beta 90.00
_cell_angle_gamma 90.00
loop_
_space_group_symop_operation_xyz
'x,y,z'
'y,-x,-z'
'-x,-y,z'
'-y,x,-z'
'-x,y,z'
'-y,-x,-z'
'x,-y,z'
'y,x,-z'
loop_
_atom_site_label
_atom_site_type_symbol
_atom_site_fract_x
_atom_site_fract_y
_atom_site_fract_z
Tb1 Tb 0.0000 0.5000 0.2426
Be1 Be 0.0000 0.0000 0.0000
Be2 Be 0.0000 0.5000 0.6389
Be3 Be 0.5000 0.5000 0.0000
Si1 Si 0.0000 0.5000 0.8682
Si2 Si 0.5000 0.5000 0.5000
Au1 Au 0.0000 0.0000 0.5000


11.
# BaGeAsPt6 PBE optimized geometry
# DFT formation energy ... -1.870 eV per formula unit
# Total magnetic moment ... 0.00 Bohr magnetons per cell
data_BaGeAsPt6
_space_group_name_H-M_alt 'I m m a'
_space_group_IT_number 74
_space_group_name_Hall '-I 2b 2'
_cell_length_a 7.9498
_cell_length_b 8.6405
_cell_length_c 11.5194
_cell_angle_alpha 90.00
_cell_angle_beta 90.00
_cell_angle_gamma 90.00
loop_
_atom_site_label
_atom_site_type_symbol
_atom_site_fract_x
_atom_site_fract_y
_atom_site_fract_z
Ba1 Ba 0.0000 0.2500 0.1429
Ge1 Ge 0.2500 0.2500 0.7500
As1 As 0.0000 0.0000 0.5000
Pt1 Pt 0.0000 0.2500 0.4118
Pt2 Pt 0.0000 0.2500 0.8700
Pt3 Pt 0.2424 0.0244 0.6237


12.
# PuMnAl3 PBE optimized geometry
# DFT formation energy ... -0.698 eV per formula unit
# Total magnetic moment ... 5.61 Bohr magnetons per cell
data_PuMnAl3
_space_group_name_H-M_alt 'P m -3 m'
_space_group_IT_number 221
_space_group_name_Hall '-P 4 2 3'
_cell_length_a 4.5489
_cell_length_b 4.5489
_cell_length_c 4.5489
_cell_angle_alpha 90.00
_cell_angle_beta 90.00
_cell_angle_gamma 90.00
loop_
_atom_site_label
_atom_site_type_symbol
_atom_site_fract_x
_atom_site_fract_y
_atom_site_fract_z
Pu1 Pu 0.0000 0.0000 0.0000
Mn1 Mn 0.5000 0.5000 0.5000
Al1 Al 0.0000 0.5000 0.5000


Number 1: density of states at the Fermi level 0.444 states/eV/atom. Number 2: density of states at the Fermi level 0.939 states/eV/atom. Number 3: density of states at the Fermi level 0.278 states/eV/atom. Number 4: density of states at the Fermi level 0.893 states/eV/atom. Number 5: density of states at the Fermi level 1.122 states/eV/atom. Number 6: density of states at the Fermi level 0.000 states/eV/atom. Number 7: density of states at the Fermi level 1.349 states/eV/atom. Number 8: density of states at the Fermi level 1.675 states/eV/atom. Number 9: density of states at the Fermi level 0.798 states/eV/atom. Number 10: density of states at the Fermi level 0.242 states/eV/atom. Number 11: density of states at the Fermi level 0.365 states/eV/atom. Number 12: density of states at the Fermi level 1.051 states/eV/atom.